[1]
Here is a crystal of Mo2PRh relaxed with PBEsol from Alexandria. Energies are from meta-GGA SCAN.

Properties
As for the symmetry: Immm (71). The calculation puts the energy of formation from the pure elements at -182 meV/atom. The value obtained for the magnetization is 0.00 μB per formula unit.

Structure (CIF):
```
data_Mo2PRh
_chemical_formula_sum 'Mo2 P1 Rh1'
_cell_length_a 2.9532
_cell_length_b 4.3846
_cell_length_c 5.0396
_cell_angle_alpha 115.79
_cell_angle_beta 107.04
_cell_angle_gamma 90.00
_space_group_name_H-M_alt 'P 1'
_space_group_IT_number 1
_space_group_name_Hall 'P 1'
loop_
_atom_site_label
_atom_site_fract_x
_atom_site_fract_y
_atom_site_fract_z
Mo1 0.7771 0.7771 0.5542
Mo2 0.2229 0.2229 0.4458
P1 0.5000 0.0000 0.0000
Rh1 0.0000 0.5000 0.0000
```

***

[2]
Here is a crystal of Mo2PRh relaxed with PBEsol from Alexandria. Energies are from meta-GGA SCAN.

Properties
As for the symmetry: R-3m (166). The calculation puts the energy of formation from the pure elements at 30 meV/atom. The value obtained for the magnetization is 0.00 μB per formula unit.

Structure (CIF):
```
data_Mo2PRh
_chemical_formula_sum 'Mo2 P1 Rh1'
_cell_length_a 2.8023
_cell_length_b 2.8023
_cell_length_c 8.3982
_cell_angle_alpha 80.40
_cell_angle_beta 80.40
_cell_angle_gamma 60.00
_space_group_name_H-M_alt 'P 1'
_space_group_IT_number 1
_space_group_name_Hall 'P 1'
loop_
_atom_site_label
_atom_site_fract_x
_atom_site_fract_y
_atom_site_fract_z
Mo1 0.2447 0.2447 0.2659
Mo2 0.7553 0.7553 0.7341
P1 0.5000 0.5000 0.5000
Rh1 0.0000 0.0000 0.0000
```

***

[3]
Here is a crystal of MoP2Rh relaxed with PBEsol from Alexandria. Energies are from meta-GGA SCAN.

Properties
As for the symmetry: I-4m2 (119). The calculation puts the energy of formation from the pure elements at -68 meV/atom. The value obtained for the magnetization is 0.00 μB per formula unit.

Structure (CIF):
```
data_MoP2Rh
_chemical_formula_sum 'Mo1 P2 Rh1'
_cell_length_a 3.4530
_cell_length_b 3.4530
_cell_length_c 5.1105
_cell_angle_alpha 109.74
_cell_angle_beta 109.74
_cell_angle_gamma 90.00
_space_group_name_H-M_alt 'P 1'
_space_group_IT_number 1
_space_group_name_Hall 'P 1'
loop_
_atom_site_label
_atom_site_fract_x
_atom_site_fract_y
_atom_site_fract_z
Mo1 0.2500 0.7500 0.5000
P1 0.0000 0.0000 0.0000
P2 0.7500 0.2500 0.5000
Rh1 0.5000 0.5000 0.0000
```

***

[4]
Here is a crystal of Mo2PRh relaxed with PBEsol from Alexandria. Energies are from meta-GGA SCAN.

Properties
As for the symmetry: Imm2 (44). The calculation puts the energy of formation from the pure elements at -271 meV/atom. The value obtained for the magnetization is 0.00 μB per formula unit.

Structure (CIF):
```
data_Mo2PRh
_chemical_formula_sum 'Mo2 P1 Rh1'
_cell_length_a 2.8775
_cell_length_b 4.3481
_cell_length_c 5.1042
_cell_angle_alpha 115.20
_cell_angle_beta 106.37
_cell_angle_gamma 90.00
_space_group_name_H-M_alt 'P 1'
_space_group_IT_number 1
_space_group_name_Hall 'P 1'
loop_
_atom_site_label
_atom_site_fract_x
_atom_site_fract_y
_atom_site_fract_z
Mo1 0.0061 0.0061 0.0123
Mo2 0.2156 0.7155 0.4313
P1 0.4954 0.4958 0.9909
Rh1 0.7828 0.2826 0.5655
```

***

[5]
Here is a crystal of Mo3PRh relaxed with PBEsol from Alexandria. Energies are from meta-GGA SCAN.

Properties
As for the symmetry: Pm-3m (221). The calculation puts the energy of formation from the pure elements at 748 meV/atom. The value obtained for the magnetization is 0.00 μB per formula unit.

Structure (CIF):
```
data_Mo3PRh
_chemical_formula_sum 'Mo3 P1 Rh1'
_cell_length_a 4.3476
_cell_length_b 4.3476
_cell_length_c 4.3476
_cell_angle_alpha 90.00
_cell_angle_beta 90.00
_cell_angle_gamma 90.00
_space_group_name_H-M_alt 'P 1'
_space_group_IT_number 1
_space_group_name_Hall 'P 1'
loop_
_atom_site_label
_atom_site_fract_x
_atom_site_fract_y
_atom_site_fract_z
P1 0.0000 0.0000 0.0000
Mo1 0.0000 0.5000 0.0000
Mo2 0.0000 0.0000 0.5000
Mo3 0.5000 0.0000 0.0000
Rh1 0.5000 0.5000 0.5000
```

***

[6]
Here is a crystal of Mo2PRh relaxed with PBEsol from Alexandria. Energies are from meta-GGA SCAN.

Properties
As for the symmetry: Pmmm (47). The calculation puts the energy of formation from the pure elements at 10 meV/atom. The value obtained for the magnetization is 0.00 μB per formula unit.

Structure (CIF):
```
data_Mo2PRh
_chemical_formula_sum 'Mo2 P1 Rh1'
_cell_length_a 3.1482
_cell_length_b 4.0924
_cell_length_c 4.3181
_cell_angle_alpha 90.00
_cell_angle_beta 90.00
_cell_angle_gamma 90.00
_space_group_name_H-M_alt 'P 1'
_space_group_IT_number 1
_space_group_name_Hall 'P 1'
loop_
_atom_site_label
_atom_site_fract_x
_atom_site_fract_y
_atom_site_fract_z
Mo1 0.0000 0.0000 0.0000
Mo2 0.5000 0.5000 0.0000
P1 0.5000 0.0000 0.5000
Rh1 0.0000 0.5000 0.5000
```

***

[7]
Here is a crystal of MoP2Rh relaxed with PBEsol from Alexandria. Energies are from meta-GGA SCAN.

Properties
As for the symmetry: R3m (160). The calculation puts the energy of formation from the pure elements at -115 meV/atom. The value obtained for the magnetization is 0.00 μB per formula unit.

Structure (CIF):
```
data_MoP2Rh
_chemical_formula_sum 'Mo1 P2 Rh1'
_cell_length_a 2.9621
_cell_length_b 2.9621
_cell_length_c 7.5068
_cell_angle_alpha 78.62
_cell_angle_beta 78.62
_cell_angle_gamma 60.00
_space_group_name_H-M_alt 'P 1'
_space_group_IT_number 1
_space_group_name_Hall 'P 1'
loop_
_atom_site_label
_atom_site_fract_x
_atom_site_fract_y
_atom_site_fract_z
Mo1 0.2588 0.2588 0.2236
P1 0.0022 0.0022 0.9935
P2 0.7504 0.7504 0.7487
Rh1 0.4886 0.4886 0.5342
```

***

[8]
Here is a crystal of Mo2PRh relaxed with PBEsol from Alexandria. Energies are from meta-GGA SCAN.

Properties
As for the symmetry: Cmmm (65). The calculation puts the energy of formation from the pure elements at -25 meV/atom. The value obtained for the magnetization is 0.00 μB per formula unit.

Structure (CIF):
```
data_Mo2PRh
_chemical_formula_sum 'Mo2 P1 Rh1'
_cell_length_a 2.7959
_cell_length_b 4.7308
_cell_length_c 4.7308
_cell_angle_alpha 117.62
_cell_angle_beta 90.00
_cell_angle_gamma 90.00
_space_group_name_H-M_alt 'P 1'
_space_group_IT_number 1
_space_group_name_Hall 'P 1'
loop_
_atom_site_label
_atom_site_fract_x
_atom_site_fract_y
_atom_site_fract_z
Mo1 0.0000 0.5000 0.0000
Mo2 0.0000 0.0000 0.5000
P1 0.5000 0.0000 0.0000
Rh1 0.5000 0.5000 0.5000
```